(1)
NaTe2IN after structural relaxation. Source: the Alexandria database, functional GGA-PBE.

Space-group type   P4/mmm
ΔE to the lowest computed polymorph   0.0 meV/atom
Formation energy without anion corrections   0.405 eV per atom
Volume   123 Å³/f.u.

a b c (Å): 4.795 4.795 5.354
angles (deg): 90.00 90.00 90.00
Fractional positions:
Te1 0.000 0.500 0.000
Te2 0.500 0.000 0.000
Na1 0.500 0.500 0.500
N1 0.000 0.000 0.000
I1 0.000 0.000 0.500

(2)
AcPm6Nd2Sm3 after structural relaxation. Source: the Alexandria database, functional GGA-PBE.

Space-group type   C2/m
Formation enthalpy at 0 K   22 meV/atom
Volume   423 Å³/f.u.

a b c (Å): 6.376 6.376 12.199
angles (deg): 95.02 95.02 119.98
Fractional positions:
Sm1 0.833 0.167 0.500
Sm2 0.167 0.833 0.500
Sm3 0.500 0.500 0.500
Pm1 0.915 0.579 0.746
Pm2 0.250 0.250 0.746
Pm3 0.421 0.085 0.254
Pm4 0.085 0.421 0.254
Pm5 0.750 0.750 0.254
Pm6 0.579 0.915 0.746
Ac1 0.000 0.000 0.000
Nd1 0.667 0.333 0.000
Nd2 0.333 0.667 0.000

(3)
Li2SbPbBr6 after structural relaxation. Source: the Alexandria database, functional GGA-PBE.

Space-group type   P1
Formation energy without anion corrections   -0.936 eV per atom
Volume   332 Å³/f.u.

a b c (Å): 7.380 7.613 7.686
angles (deg): 70.52 69.37 56.72
Site moments in Bohr magnetons follow the coordinates.
Fractional positions:
Br1 0.891 0.563 0.274  0.01
Br2 0.192 0.879 0.236  0.03
Br3 0.108 0.375 0.790  0.01
Br4 0.744 0.093 0.820  0.01
Br5 0.418 0.752 0.690  0.03
Br6 0.557 0.254 0.319  0.01
Pb1 0.819 0.819 0.533  0.01
Li1 0.100 0.014 0.906  0.00
Li2 0.504 0.591 0.401  0.00
Sb1 0.330 0.322 0.046  0.35

(4)
Ca3Si2Ni3 after structural relaxation. Source: the Alexandria database, functional GGA-PBE.

Space-group type   Pnma
ΔE to the lowest computed polymorph   0.0 meV/atom
Formation energy without anion corrections   -0.508 eV per atom
Volume   165 Å³/f.u.

a b c (Å): 3.953 9.244 18.070
angles (deg): 90.00 90.00 90.00
Fractional positions:
Ca1 0.250 0.625 0.682
Ca2 0.750 0.357 0.568
Ca3 0.250 0.143 0.068
Ca4 0.750 0.393 0.931
Ca5 0.750 0.893 0.569
Ca6 0.750 0.375 0.318
Ca7 0.250 0.607 0.069
Ca8 0.250 0.643 0.432
Ca9 0.250 0.125 0.818
Ca10 0.250 0.107 0.431
Ca11 0.750 0.875 0.182
Ca12 0.750 0.857 0.932
Si1 0.750 0.876 0.750
Si2 0.250 0.626 0.893
Si3 0.250 0.126 0.607
Si4 0.250 0.124 0.250
Si5 0.750 0.374 0.107
Si6 0.750 0.874 0.393
Si7 0.250 0.624 0.250
Si8 0.750 0.376 0.750
Ni1 0.250 0.944 0.692
Ni2 0.750 0.556 0.192
Ni3 0.750 0.692 0.309
Ni4 0.250 0.308 0.691
Ni5 0.250 0.808 0.809
Ni6 0.250 0.444 0.808
Ni7 0.750 0.192 0.191
Ni8 0.750 0.127 0.685
Ni9 0.250 0.373 0.185
Ni10 0.250 0.873 0.315
Ni11 0.750 0.056 0.308
Ni12 0.750 0.627 0.815

(5)
BaGe5 after structural relaxation. Source: the Alexandria database, functional GGA-PBE.

Space-group type   Cmmm
Formation enthalpy at 0 K   58 meV/atom
Volume   148 Å³/f.u.

a b c (Å): 3.996 5.877 6.940
angles (deg): 115.05 90.00 90.00
Fractional positions:
Ge1 0.500 0.213 0.426
Ge2 0.500 0.787 0.574
Ge3 0.500 0.500 0.000
Ge4 0.000 0.339 0.677
Ge5 0.000 0.661 0.323
Ba1 0.000 0.000 0.000

(6)
LiGeN2 after structural relaxation. Source: the Alexandria database, functional GGA-PBE.

Space-group type   I-42d
Formation energy without anion corrections   0.057 eV per atom
Volume   47 Å³/f.u.

a b c (Å): 4.687 4.687 5.415
angles (deg): 64.36 64.36 90.00
Site moments in Bohr magnetons follow the coordinates.
Fractional positions:
Ge1 0.000 0.000 0.000  0.00
Ge2 0.750 0.250 0.500  0.00
N1 0.665 0.125 0.250  0.35
N2 0.375 0.335 0.750  0.35
N3 0.875 0.915 0.750  0.35
N4 0.085 0.625 0.250  0.35
Li1 0.500 0.500 0.000  0.01
Li2 0.250 0.750 0.500  0.01

(7)
DyLuCo after structural relaxation. Source: the Alexandria database, functional GGA-PBE.

Space-group type   F-43m
ΔE to the lowest computed polymorph   67.5 meV/atom
Formation enthalpy at 0 K   -88 meV/atom
Volume   70 Å³/f.u.

a b c (Å): 4.635 4.635 4.635
angles (deg): 60.00 60.00 60.00
Fractional positions:
Lu1 0.000 0.000 0.000
Dy1 0.500 0.500 0.500
Co1 0.250 0.250 0.250

(8)
RbTeI2Cl after structural relaxation. Source: the Alexandria database, functional GGA-PBE.

Space-group type   P4/mmm
ΔE to the lowest computed polymorph   495.4 meV/atom
Formation energy without anion corrections   -0.209 eV per atom
Volume   202 Å³/f.u.

a b c (Å): 6.064 6.064 5.500
angles (deg): 90.00 90.00 90.00
Fractional positions:
Cl1 0.000 0.000 0.000
Te1 0.000 0.000 0.500
I1 0.000 0.500 0.000
I2 0.500 0.000 0.000
Rb1 0.500 0.500 0.500

Repeat the second record exactly.
AcPm6Nd2Sm3 after structural relaxation. Source: the Alexandria database, functional GGA-PBE.

Space-group type   C2/m
Formation enthalpy at 0 K   22 meV/atom
Volume   423 Å³/f.u.

a b c (Å): 6.376 6.376 12.199
angles (deg): 95.02 95.02 119.98
Fractional positions:
Sm1 0.833 0.167 0.500
Sm2 0.167 0.833 0.500
Sm3 0.500 0.500 0.500
Pm1 0.915 0.579 0.746
Pm2 0.250 0.250 0.746
Pm3 0.421 0.085 0.254
Pm4 0.085 0.421 0.254
Pm5 0.750 0.750 0.254
Pm6 0.579 0.915 0.746
Ac1 0.000 0.000 0.000
Nd1 0.667 0.333 0.000
Nd2 0.333 0.667 0.000